! GdY2In3Co3 PBE optimized geometry; values from VASP
&SYSTEM
  ibrav = 0, nat = 9, ntyp = 4
/
ATOMIC_SPECIES
Gd 157.25 Gd.upf
Y 88.91 Y.upf
In 114.82 In.upf
Co 58.93 Co.upf
CELL_PARAMETERS angstrom
3.860 0.000 0.000
0.000 6.364 3.689
0.000 -6.364 3.689
ATOMIC_POSITIONS crystal
Gd 0.000 0.000 0.000
Y 0.000 0.180 0.589
Y 0.000 0.589 0.180
In 0.500 0.337 0.337
In 0.500 0.588 0.843
In 0.500 0.843 0.588
Co 0.000 0.590 0.590
Co 0.500 0.255 0.923
Co 0.500 0.923 0.255
! theoretical density	7.8	g cm⁻³
! magnetic moment	0.015	μB/cell
! total energy	-5.525	eV per atom